[1]
AcInPbI6: optimized geometry, PBE-GGA.

Energy relative to the elements, uncorrected, eV per atom: -0.9746
SG: P4_2nm, No. 102
Electronic total energy, eV/atom: -3.18
N(E_F), states/eV/f.u.: 0.00

Lattice parameters (Å, degrees): 7.8834 7.8834 14.8463 90.00 90.00 90.00
Closest atoms and distances in Å follow each position.
Element x y z (fractional)
Ac  0.0000  0.0000  0.0000  6 I 3.28-3.29
Ac  0.5000  0.5000  0.5000  6 I 3.28-3.29
In  0.0000  0.0000  0.6680  6 I 3.45-3.47
In  0.5000  0.5000  0.1680  6 I 3.45-3.47
Pb  0.0000  0.0000  0.3334  6 I 3.22-3.30
Pb  0.5000  0.5000  0.8334  6 I 3.22-3.30
I  0.1897  0.1897  0.1698  1 Pb 3.22, 1 Ac 3.29, 1 In 3.46
I  0.2053  0.2053  0.8415  1 Ac 3.28, 1 Pb 3.29, 1 In 3.45
I  0.2063  0.2063  0.4930  1 Ac 3.28, 1 Pb 3.30, 1 In 3.47
I  0.2937  0.7063  0.9930  1 Ac 3.28, 1 Pb 3.30, 1 In 3.47
I  0.2947  0.7053  0.3415  1 Ac 3.28, 1 Pb 3.29, 1 In 3.45
I  0.3103  0.6897  0.6698  1 Pb 3.22, 1 Ac 3.29, 1 In 3.46
I  0.6897  0.3103  0.6698  1 Pb 3.22, 1 Ac 3.29, 1 In 3.46
I  0.7053  0.2947  0.3415  1 Ac 3.28, 1 Pb 3.29, 1 In 3.45
I  0.7063  0.2937  0.9930  1 Ac 3.28, 1 Pb 3.30, 1 In 3.47
I  0.7937  0.7937  0.4930  1 Ac 3.28, 1 Pb 3.30, 1 In 3.47
I  0.7947  0.7947  0.8415  1 Ac 3.28, 1 Pb 3.29, 1 In 3.45
I  0.8103  0.8103  0.1698  1 Pb 3.22, 1 Ac 3.29, 1 In 3.46

---

[2]
AcPmInI: optimized geometry, PBE-GGA.

Energy relative to the elements, uncorrected, eV per atom: -0.5458
SG: F-43m, No. 216
Electronic total energy, eV/atom: -3.83
N(E_F), states/eV/f.u.: 2.37

Lattice parameters (Å, degrees): 8.0828 8.0828 8.0828 90.00 90.00 90.00
Closest atoms and distances in Å follow each position.
Element x y z (fractional)
Ac  0.0000  0.0000  0.0000  4 In 3.50, 4 I 3.50
Ac  0.0000  0.5000  0.5000  4 In 3.50, 4 I 3.50
Ac  0.5000  0.0000  0.5000  4 In 3.50, 4 I 3.50
Ac  0.5000  0.5000  0.0000  4 In 3.50, 4 I 3.50
Pm  0.0000  0.0000  0.5000  4 In 3.50, 4 I 3.50
Pm  0.0000  0.5000  0.0000  4 In 3.50, 4 I 3.50
Pm  0.5000  0.0000  0.0000  4 In 3.50, 4 I 3.50
Pm  0.5000  0.5000  0.5000  4 In 3.50, 4 I 3.50
In  0.2500  0.2500  0.2500  4 Pm 3.50, 4 Ac 3.50
In  0.2500  0.7500  0.7500  4 Pm 3.50, 4 Ac 3.50
In  0.7500  0.2500  0.7500  4 Pm 3.50, 4 Ac 3.50
In  0.7500  0.7500  0.2500  4 Pm 3.50, 4 Ac 3.50
I  0.2500  0.2500  0.7500  4 Ac 3.50, 4 Pm 3.50
I  0.2500  0.7500  0.2500  4 Ac 3.50, 4 Pm 3.50
I  0.7500  0.2500  0.2500  4 Ac 3.50, 4 Pm 3.50
I  0.7500  0.7500  0.7500  4 Ac 3.50, 4 Pm 3.50

---

[3]
RbAcIn2I6: optimized geometry, PBE-GGA.

Energy relative to the elements, uncorrected, eV per atom: -1.1024
SG: P1, No. 1
Electronic total energy, eV/atom: -3.09
N(E_F), states/eV/f.u.: 0.00

Lattice parameters (Å, degrees): 8.8348 8.8440 9.3342 90.01 118.24 119.95
Closest atoms and distances in Å follow each position.
Element x y z (fractional)
Rb  0.0000  0.0000  0.0000  6 I 3.68-3.80
Ac  0.9772  0.4885  0.4654  6 I 3.27-3.30
In  0.5900  0.2950  0.8843  6 I 3.49-3.58
In  0.6077  0.8040  0.4110  6 I 3.47-3.54
I  0.0937  0.2298  0.6795  1 Ac 3.27, 2 In 3.54-3.57
I  0.0942  0.4246  0.1935  1 Ac 3.30, 2 In 3.47-3.50, 1 Rb 3.68
I  0.4495  0.8635  0.6795  1 Ac 3.27, 2 In 3.54-3.58
I  0.5248  0.1005  0.1935  1 Ac 3.30, 2 In 3.47-3.49, 1 Rb 3.68
I  0.7688  0.6687  0.1929  1 Ac 3.30, 2 In 3.47-3.49, 1 Rb 3.68
I  0.8163  0.5864  0.6797  1 Ac 3.27, 2 In 3.54-3.57

---

[4]
Rb2AcInI6: optimized geometry, PBE-GGA.

Energy relative to the elements, uncorrected, eV per atom: -1.3210
SG: P2_1/c, No. 14
Electronic total energy, eV/atom: -3.13
N(E_F), states/eV/f.u.: 0.00

Lattice parameters (Å, degrees): 8.7088 9.3765 15.1104 90.00 123.43 90.00
Closest atoms and distances in Å follow each position.
Element x y z (fractional)
Rb  0.2087  0.0876  0.2447  6 I 3.74-3.96
Rb  0.2087  0.4124  0.7447  6 I 3.74-3.96
Rb  0.7913  0.5876  0.2553  6 I 3.74-3.96
Rb  0.7913  0.9124  0.7553  6 I 3.74-3.96
Ac  0.5000  0.0000  0.0000  6 I 3.27-3.28
Ac  0.5000  0.5000  0.5000  6 I 3.27-3.28
In  0.0000  0.0000  0.5000  6 I 3.49-3.50
In  0.0000  0.5000  0.0000  6 I 3.49-3.50
I  0.1359  0.1847  0.9399  1 Ac 3.27, 1 In 3.49
I  0.1359  0.3153  0.4399  1 Ac 3.27, 1 In 3.49
I  0.2557  0.7060  0.9318  1 Ac 3.28, 1 In 3.50
I  0.2557  0.7940  0.4318  1 Ac 3.28, 1 In 3.50
I  0.3883  0.0456  0.7566  1 Ac 3.27, 1 In 3.49
I  0.3883  0.4544  0.2566  1 Ac 3.27, 1 In 3.49
I  0.6117  0.5456  0.7434  1 Ac 3.27, 1 In 3.49
I  0.6117  0.9544  0.2434  1 Ac 3.27, 1 In 3.49
I  0.7443  0.2060  0.5682  1 Ac 3.28, 1 In 3.50
I  0.7443  0.2940  0.0682  1 Ac 3.28, 1 In 3.50
I  0.8641  0.6847  0.5601  1 Ac 3.27, 1 In 3.49
I  0.8641  0.8153  0.0601  1 Ac 3.27, 1 In 3.49

---

[5]
Ac4InRhI2: optimized geometry, PBE-GGA.

Energy relative to the elements, uncorrected, eV per atom: -0.8089
SG: P2/m, No. 10
Electronic total energy, eV/atom: -4.51
N(E_F), states/eV/f.u.: 6.17

Lattice parameters (Å, degrees): 8.3253 4.4439 8.9670 90.00 107.22 90.00
Closest atoms and distances in Å follow each position.
Element x y z (fractional)
Ac  0.2154  0.0000  0.1903  2 Rh 3.04, 1 In 3.30
Ac  0.2229  0.5000  0.8023  1 Rh 2.92
Ac  0.7771  0.5000  0.1977  1 Rh 2.92
Ac  0.7846  0.0000  0.8097  2 Rh 3.04, 1 In 3.30
In  0.5000  0.0000  0.0000  6 Ac 3.30-3.31
Rh  0.0000  0.5000  0.0000  6 Ac 2.92-3.04
I  0.0000  0.0000  0.5000  6 Ac 3.57-3.72
I  0.5000  0.5000  0.5000  6 Ac 3.79-4.05

---

[6]
Ac6InRh2I3: optimized geometry, PBE-GGA.

Energy relative to the elements, uncorrected, eV per atom: -0.8976
SG: C2/m, No. 12
Electronic total energy, eV/atom: -4.79
N(E_F), states/eV/f.u.: 6.90

Lattice parameters (Å, degrees): 11.0160 11.0160 10.2570 109.70 109.70 23.12
Closest atoms and distances in Å follow each position.
Element x y z (fractional)
Ac  0.0262  0.0262  0.2544  1 Rh 2.94
Ac  0.3165  0.3165  0.4471  3 Rh 2.94-3.01
Ac  0.3355  0.3355  0.8595  2 Rh 3.02, 1 In 3.34
Ac  0.6645  0.6645  0.1405  2 Rh 3.02, 1 In 3.34
Ac  0.6835  0.6835  0.5529  3 Rh 2.94-3.01
Ac  0.9738  0.9738  0.7456  1 Rh 2.94
In  0.5000  0.5000  0.0000  6 Ac 3.31-3.34
Rh  0.1712  0.1712  0.3453  6 Ac 2.94-3.02
Rh  0.8288  0.8288  0.6547  6 Ac 2.94-3.02
I  0.1611  0.1611  0.8413  6 Ac 3.70-3.85
I  0.5000  0.5000  0.5000  6 Ac 3.54-3.81
I  0.8389  0.8389  0.1587  6 Ac 3.70-3.85

---

[7]
Ac6In2RuI3: optimized geometry, PBE-GGA.

Energy relative to the elements, uncorrected, eV per atom: -0.6836
SG: C2/m, No. 12
Electronic total energy, eV/atom: -4.35
N(E_F), states/eV/f.u.: 11.53

Lattice parameters (Å, degrees): 8.1163 8.1163 8.7479 99.10 99.10 118.64
Closest atoms and distances in Å follow each position.
Element x y z (fractional)
Ac  0.0660  0.3673  0.1981  1 Ru 2.95
Ac  0.2236  0.2236  0.7918  1 Ru 2.97, 2 In 3.33
Ac  0.3673  0.0660  0.1981  1 Ru 2.95
Ac  0.6327  0.9340  0.8019  1 Ru 2.95
Ac  0.7764  0.7764  0.2082  1 Ru 2.97, 2 In 3.33
Ac  0.9340  0.6327  0.8019  1 Ru 2.95
In  0.3382  0.6618  0.0000  6 Ac 3.33-3.34
In  0.6618  0.3382  0.0000  6 Ac 3.33-3.34
Ru  0.0000  0.0000  0.0000  6 Ac 2.95-2.97
I  0.1778  0.8222  0.5000  6 Ac 3.63-3.79
I  0.5000  0.5000  0.5000  6 Ac 3.61-3.92
I  0.8222  0.1778  0.5000  6 Ac 3.63-3.79

---

[8]
Ac4InRuI2: optimized geometry, PBE-GGA.

Energy relative to the elements, uncorrected, eV per atom: -0.6961
SG: P2/m, No. 10
Electronic total energy, eV/atom: -4.64
N(E_F), states/eV/f.u.: 5.34

Lattice parameters (Å, degrees): 8.2885 4.4173 9.0008 90.00 107.17 90.00
Closest atoms and distances in Å follow each position.
Element x y z (fractional)
Ac  0.2128  0.0000  0.1891  2 Ru 3.02, 1 In 3.31
Ac  0.2186  0.5000  0.8028  1 Ru 2.89
Ac  0.7814  0.5000  0.1972  1 Ru 2.89
Ac  0.7872  0.0000  0.8109  2 Ru 3.02, 1 In 3.31
In  0.5000  0.0000  0.0000  6 Ac 3.31-3.32
Ru  0.0000  0.5000  0.0000  6 Ac 2.89-3.02
I  0.0000  0.0000  0.5000  6 Ac 3.56-3.72
I  0.5000  0.5000  0.5000  6 Ac 3.80-4.08

---

[9]
AcInSbI: optimized geometry, PBE-GGA.

Energy relative to the elements, uncorrected, eV per atom: -0.6879
SG: F-43m, No. 216
Electronic total energy, eV/atom: -3.82
N(E_F), states/eV/f.u.: 0.19

Lattice parameters (Å, degrees): 8.1562 8.1562 8.1562 90.00 90.00 90.00
Closest atoms and distances in Å follow each position.
Element x y z (fractional)
Ac  0.0000  0.0000  0.0000  4 Sb 3.53, 4 I 3.53
Ac  0.0000  0.5000  0.5000  4 Sb 3.53, 4 I 3.53
Ac  0.5000  0.0000  0.5000  4 Sb 3.53, 4 I 3.53
Ac  0.5000  0.5000  0.0000  4 Sb 3.53, 4 I 3.53
In  0.0000  0.0000  0.5000  4 Sb 3.53, 4 I 3.53
In  0.0000  0.5000  0.0000  4 Sb 3.53, 4 I 3.53
In  0.5000  0.0000  0.0000  4 Sb 3.53, 4 I 3.53
In  0.5000  0.5000  0.5000  4 Sb 3.53, 4 I 3.53
Sb  0.2500  0.2500  0.7500  4 Ac 3.53, 4 In 3.53
Sb  0.2500  0.7500  0.2500  4 Ac 3.53, 4 In 3.53
Sb  0.7500  0.2500  0.2500  4 Ac 3.53, 4 In 3.53
Sb  0.7500  0.7500  0.7500  4 Ac 3.53, 4 In 3.53
I  0.2500  0.2500  0.2500  4 In 3.53, 4 Ac 3.53
I  0.2500  0.7500  0.7500  4 In 3.53, 4 Ac 3.53
I  0.7500  0.2500  0.7500  4 In 3.53, 4 Ac 3.53
I  0.7500  0.7500  0.2500  4 In 3.53, 4 Ac 3.53

---

[10]
Ac8InSi3I4: optimized geometry, PBE-GGA.

Energy relative to the elements, uncorrected, eV per atom: -0.8551
SG: C2/m, No. 12
Electronic total energy, eV/atom: -4.48
N(E_F), states/eV/f.u.: 7.47

Lattice parameters (Å, degrees): 9.3645 9.3645 9.7059 118.84 118.84 60.00
Closest atoms and distances in Å follow each position.
Element x y z (fractional)
Ac  0.2241  0.7413  0.7064  2 Si 3.13-3.14, 1 In 3.25
Ac  0.2331  0.2331  0.6989  3 Si 3.14
Ac  0.2587  0.7759  0.2936  2 Si 3.13-3.14, 1 In 3.25
Ac  0.2599  0.2599  0.2945  2 Si 3.14, 1 In 3.24
Ac  0.7401  0.7401  0.7055  2 Si 3.14, 1 In 3.24
Ac  0.7413  0.2241  0.7064  2 Si 3.13-3.14, 1 In 3.25
Ac  0.7669  0.7669  0.3011  3 Si 3.14
Ac  0.7759  0.2587  0.2936  2 Si 3.13-3.14, 1 In 3.25
In  0.5000  0.5000  0.5000  6 Ac 3.24-3.25
Si  0.0000  0.0000  0.5000  6 Ac 3.13-3.14
Si  0.0000  0.5000  0.5000  6 Ac 3.14
Si  0.5000  0.0000  0.5000  6 Ac 3.14
I  0.0000  0.0000  0.0000  6 Ac 3.52-3.54
I  0.0000  0.5000  0.0000  6 Ac 3.63
I  0.5000  0.0000  0.0000  6 Ac 3.63
I  0.5000  0.5000  0.0000  6 Ac 3.63

---

[11]
Ac4InSiI2: optimized geometry, PBE-GGA.

Energy relative to the elements, uncorrected, eV per atom: -0.7785
SG: P2/m, No. 10
Electronic total energy, eV/atom: -4.24
N(E_F), states/eV/f.u.: 3.62

Lattice parameters (Å, degrees): 8.3449 4.6642 8.4433 90.00 108.47 90.00
Closest atoms and distances in Å follow each position.
Element x y z (fractional)
Ac  0.2244  0.0000  0.2055  2 Si 3.15, 1 In 3.29
Ac  0.2463  0.5000  0.7838  1 Si 3.15, 2 In 3.29, 2 I 3.50
Ac  0.7537  0.5000  0.2162  1 Si 3.15, 2 In 3.29, 2 I 3.50
Ac  0.7756  0.0000  0.7945  2 Si 3.15, 1 In 3.29
In  0.5000  0.0000  0.0000  6 Ac 3.29
Si  0.0000  0.5000  0.0000  6 Ac 3.15
I  0.0000  0.0000  0.5000  6 Ac 3.50-3.55
I  0.5000  0.5000  0.5000  6 Ac 3.65-3.67

---

[12]
Ac6InSi2I3: optimized geometry, PBE-GGA.

Energy relative to the elements, uncorrected, eV per atom: -0.8278
SG: C2/m, No. 12
Electronic total energy, eV/atom: -4.40
N(E_F), states/eV/f.u.: 7.01

Lattice parameters (Å, degrees): 10.7924 10.7924 9.8640 105.04 105.04 24.65
Closest atoms and distances in Å follow each position.
Element x y z (fractional)
Ac  0.0154  0.0154  0.2455  1 Si 3.11, 2 In 3.30, 2 I 3.48
Ac  0.3215  0.3215  0.4402  3 Si 3.11-3.13
Ac  0.3373  0.3373  0.8752  2 Si 3.12, 1 In 3.32
Ac  0.6627  0.6627  0.1248  2 Si 3.12, 1 In 3.32
Ac  0.6785  0.6785  0.5598  3 Si 3.11-3.13
Ac  0.9846  0.9846  0.7545  1 Si 3.11, 2 In 3.30, 2 I 3.48
In  0.5000  0.5000  0.0000  6 Ac 3.30-3.32
Si  0.1684  0.1684  0.3403  6 Ac 3.11-3.13
Si  0.8316  0.8316  0.6597  6 Ac 3.11-3.13
I  0.1651  0.1651  0.8350  6 Ac 3.55-3.68
I  0.5000  0.5000  0.5000  6 Ac 3.48-3.65
I  0.8349  0.8349  0.1650  6 Ac 3.55-3.68